K2NiPt, optimized geometry, DFT GGA-PBE; space group = Pm; energy relative to the lowest polymorph listed for this composition = 0.0886 eV per atom; E = -13.28 eV for the cell shown; calculated formation energy = 0.185 eV/atom
1.0
-2.318 3.243 -0.629
-0.883 -0.084 2.820
6.991 5.720 3.725
K Pt Ni
2 1 1
Direct
0.500 0.352 0.347
0.000 0.136 0.901
0.500 0.746 0.648
0.000 0.267 0.603